[1]
Density functional theory data (PBE-GGA) for a geometry-optimized Ca3Co2Ge4 structure.

extended XYZ file:
```
9
Lattice="5.468 -2.103 0.000 5.468 2.103 0.000 -2.165 0.000 7.765" Properties=species:S:1:pos:R:3 pbc="T T T"
Ca 0.000 0.000 0.000
Ca 3.592 0.000 2.391
Ca 5.180 0.000 5.375
Co 1.958 0.000 4.890
Co 6.813 0.000 2.876
Ge 0.367 0.000 3.133
Ge 1.094 0.000 7.094
Ge 7.678 0.000 0.671
Ge 8.405 0.000 4.632
```

DFT total energy: -43.31 eV/cell


[2]
Density functional theory data (PBE-GGA) for a geometry-optimized Li3Nb2CrN6 structure.

extended XYZ file:
```
12
Lattice="2.618 -4.536 0.000 2.618 4.536 0.000 -1.729 0.000 5.086" Properties=species:S:1:pos:R:3 pbc="T T T"
Li 0.000 0.000 0.000
Li 2.618 1.450 0.000
Li 2.618 -1.450 0.000
Nb 1.753 3.022 2.543
Nb 1.753 -3.022 2.543
Cr 1.753 0.000 2.543
N 0.911 1.457 1.420
N 0.069 0.000 3.666
N 0.911 -1.457 1.420
N 2.596 1.457 3.666
N 3.438 0.000 1.419
N 2.596 -1.457 3.666
```

Formation energy (no corrections): -0.642 eV/atom


Number 1: M_tot 0.000 μB per cell. Number 2: M_tot 1.010 μB per cell.